Entry from Alexandria: a geometry-optimized SmFe2SnO6 structure (PBE with a Hubbard U).

Computed properties:
DFT total energy (eV/atom): -6.7982
Crystal system: triclinic
Symmetry: P1

Cell lengths 5.3694, 5.3703, 5.7265 Å; angles 62.21, 89.37, 60.16 degrees
Fractional positions:
Sm (0.0000, 0.0000, 0.0000)
Fe (0.2179, 0.5686, 0.6387)
Fe (0.7315, 0.5336, 0.1857)
Sn (0.5256, 0.9523, 0.5619)
O (0.1316, 0.0340, 0.3879)
O (0.3588, 0.0867, 0.8516)
O (0.4397, 0.4381, 0.3800)
O (0.5544, 0.4988, 0.8479)
O (0.8404, 0.7314, 0.3868)
O (0.9408, 0.6908, 0.8606)